# TaHgNO (GGA-PBE, relaxed)
data_TaHgNO
_cell_length_a 3.216
_cell_length_b 6.260
_cell_length_c 7.163
_cell_angle_alpha 90.00
_cell_angle_beta 90.00
_cell_angle_gamma 90.00
_space_group_name_H-M_alt 'P m c 21'
_space_group_IT_number 26
_space_group_name_Hall 'P 2c -2'
loop_
_atom_site_label
_atom_site_fract_x
_atom_site_fract_y
_atom_site_fract_z
Ta1 0.000 0.109 0.000
Hg1 0.500 0.327 0.522
N1 0.500 0.282 0.989
O1 0.000 0.024 0.258
# * final energy: -59.6 eV per cell
# * V: 18.027 Å³ per atom
# * magnetization: 0.0 μB/cell
# * energy above the lowest structure with this stoichiometry: 48 meV/atom

# MgTaTlOs (GGA-PBE, relaxed)
data_MgTaTlOs
_cell_length_a 6.543
_cell_length_b 6.543
_cell_length_c 6.543
_cell_angle_alpha 90.00
_cell_angle_beta 90.00
_cell_angle_gamma 90.00
_space_group_name_H-M_alt 'F -4 3 m'
_space_group_IT_number 216
_space_group_name_Hall 'F -4 2 3'
loop_
_atom_site_label
_atom_site_fract_x
_atom_site_fract_y
_atom_site_fract_z
Mg1 0.000 0.000 0.000
Ta1 0.250 0.250 0.750
Tl1 0.250 0.250 0.250
Os1 0.000 0.000 0.500
# * final energy: -103.5 eV per cell
# * V: 17.505 Å³ per atom
# * magnetization: 0.0 μB/cell
# * energy above the lowest structure with this stoichiometry: 0 meV/atom

# Rb3UF6 (GGA-PBE, relaxed)
data_Rb3UF6
_cell_length_a 11.278
_cell_length_b 6.620
_cell_length_c 6.731
_cell_angle_alpha 90.00
_cell_angle_beta 126.40
_cell_angle_gamma 90.00
_space_group_name_H-M_alt 'C 1 2 1'
_space_group_IT_number 5
_space_group_name_Hall 'C 2y'
loop_
_atom_site_label
_atom_site_fract_x
_atom_site_fract_y
_atom_site_fract_z
Rb1 0.000 0.000 0.000
Rb2 0.250 0.486 0.264
U1 0.000 0.508 0.500
F1 0.068 0.255 0.359
F2 0.079 0.718 0.332
F3 0.223 0.594 0.851
# * final energy: -110.1 eV per cell
# * V: 20.227 Å³ per atom
# * magnetization: 6.0 μB/cell

# LiNi2Sn (GGA-PBE, relaxed)
data_LiNi2Sn
_cell_length_a 5.978
_cell_length_b 5.978
_cell_length_c 5.978
_cell_angle_alpha 90.00
_cell_angle_beta 90.00
_cell_angle_gamma 90.00
_space_group_name_H-M_alt 'F m -3 m'
_space_group_IT_number 225
_space_group_name_Hall '-F 4 2 3'
loop_
_atom_site_label
_atom_site_fract_x
_atom_site_fract_y
_atom_site_fract_z
Li1 0.000 0.000 0.000
Ni1 0.250 0.250 0.250
Sn1 0.000 0.000 0.500
# * final energy: -72.8 eV per cell
# * V: 13.355 Å³ per atom
# * magnetization: 0.0 μB/cell